1.
An optimized crystal structure of Rb4MgN2, computed with PBE.

a b c (Å): 7.4079 7.4079 9.1718
angles (deg): 66.18 66.18 90.00
Last column: magnetic moment on the atom in μB.
Element x y z (fractional)
Mg (0.0000, 0.0000, 0.0000)  0.00
Rb (0.7386, 0.7386, 0.5229)  0.00
Rb (0.2614, 0.2614, 0.4771)  0.00
Rb (0.0000, 0.5000, 0.0000)  0.00
Rb (0.5000, 0.0000, 0.0000)  0.00
N (0.5384, 0.5384, 0.9232)  0.14
N (0.4616, 0.4616, 0.0768)  0.14

## Properties
Calculated volume: 59.02 A^3/atom
Uncorrected energy: -21.168 eV for the cell shown

2.
An optimized crystal structure of Rb3MgN, computed with PBE.

a b c (Å): 5.9891 5.9891 5.9891
angles (deg): 90.00 90.00 90.00
Element x y z (fractional)
Mg (0.5000, 0.5000, 0.5000)
Rb (0.0000, 0.5000, 0.0000)
Rb (0.0000, 0.0000, 0.5000)
Rb (0.5000, 0.0000, 0.0000)
N (0.0000, 0.0000, 0.0000)

## Properties
Calculated volume: 42.97 A^3/atom
Uncorrected energy: -9.723 eV for the cell shown
Polymorph energy (0 for the lowest one): 0.000 eV/atom

3.
An optimized crystal structure of RbMgSN2, computed with PBE.

a b c (Å): 4.5670 4.5670 5.0195
angles (deg): 90.00 90.00 90.00
Last column: magnetic moment on the atom in μB.
Element x y z (fractional)
S (0.0000, 0.0000, 0.5000)  0.49
Mg (0.0000, 0.0000, 0.0000)  -0.02
Rb (0.5000, 0.5000, 0.5000)  0.02
N (0.0000, 0.5000, 0.0000)  1.39
N (0.5000, 0.0000, 0.0000)  1.39

## Properties
Calculated volume: 20.94 A^3/atom
Uncorrected energy: -19.211 eV for the cell shown
Polymorph energy (0 for the lowest one): 0.000 eV/atom

4.
An optimized crystal structure of RbMgSN2, computed with PBE.

a b c (Å): 4.4322 4.4322 6.3389
angles (deg): 90.00 90.00 90.00
Last column: magnetic moment on the atom in μB.
Element x y z (fractional)
S (0.0000, 0.0000, 0.5000)  0.11
Mg (0.5000, 0.5000, 0.5000)  -0.01
Rb (0.0000, 0.0000, 0.0000)  0.08
N (0.0000, 0.5000, 0.0000)  1.06
N (0.5000, 0.0000, 0.0000)  1.06

## Properties
Calculated volume: 24.90 A^3/atom
Uncorrected energy: -12.973 eV for the cell shown
Polymorph energy (0 for the lowest one): 1.248 eV/atom

5.
An optimized crystal structure of Rb2MgScN, computed with PBE.

a b c (Å): 7.2142 3.7949 7.2142
angles (deg): 90.00 90.00 90.00
Last column: magnetic moment on the atom in μB.
Element x y z (fractional)
Sc (0.5000, 0.5000, 0.5000)  0.93
Mg (0.0000, 0.0000, 0.0000)  0.00
Rb (0.0000, 0.0000, 0.5000)  0.03
Rb (0.5000, 0.0000, 0.0000)  0.02
N (0.0000, 0.5000, 0.0000)  0.04

## Properties
Calculated volume: 39.50 A^3/atom
Uncorrected energy: -14.616 eV for the cell shown

6.
An optimized crystal structure of RbMg2TeN, computed with PBE.

a b c (Å): 4.5488 5.5757 4.5488
angles (deg): 90.00 90.00 90.00
Element x y z (fractional)
Mg (0.0000, 0.0000, 0.5000)
Mg (0.5000, 0.0000, 0.0000)
Te (0.5000, 0.5000, 0.5000)
Rb (0.0000, 0.5000, 0.0000)
N (0.0000, 0.0000, 0.0000)

## Properties
Calculated volume: 23.07 A^3/atom
Uncorrected energy: -16.787 eV for the cell shown

7.
An optimized crystal structure of RbMgTeN2, computed with PBE.

a b c (Å): 5.0126 5.0126 7.3897
angles (deg): 90.00 90.00 90.00
Last column: magnetic moment on the atom in μB.
Element x y z (fractional)
Mg (0.5000, 0.5000, 0.5000)  0.00
Te (0.0000, 0.0000, 0.5000)  0.06
Rb (0.0000, 0.0000, 0.0000)  0.13
N (0.0000, 0.5000, 0.0000)  1.64
N (0.5000, 0.0000, 0.0000)  1.64

## Properties
Calculated volume: 37.13 A^3/atom
Uncorrected energy: -13.118 eV for the cell shown
Polymorph energy (0 for the lowest one): 0.860 eV/atom

8.
An optimized crystal structure of RbMgTeN2, computed with PBE.

a b c (Å): 4.7510 4.7510 5.6967
angles (deg): 90.00 90.00 90.00
Last column: magnetic moment on the atom in μB.
Element x y z (fractional)
Mg (0.0000, 0.0000, 0.0000)  -0.02
Te (0.0000, 0.0000, 0.5000)  0.45
Rb (0.5000, 0.5000, 0.5000)  0.02
N (0.0000, 0.5000, 0.0000)  1.37
N (0.5000, 0.0000, 0.0000)  1.37

## Properties
Calculated volume: 25.72 A^3/atom
Uncorrected energy: -17.416 eV for the cell shown
Polymorph energy (0 for the lowest one): 0.000 eV/atom

- Which value of uncorrected energy does entry 8 give?
  -17.416 eV for the cell shown